Rb3UMn2O9: optimized geometry, PBE with a Hubbard U.

## Properties
- magnetic moment (μB per atom) = 0.49
- uncorrected energy (eV/atom) = -6.65
- calculated volume (Å³/cell) = 203.9
- calculated density (g/cm3) = 6.10

The structure in CIF format:
```
data_Rb3UMn2O9
_chemical_formula_sum 'Rb3 U1 Mn2 O9'
_symmetry_space_group_name_H-M 'P -3 m 1'
_symmetry_Int_Tables_number 164
_symmetry_space_group_name_Hall '-P 3 2"'
_cell_length_a 5.7548
_cell_length_b 5.7548
_cell_length_c 7.1078
_cell_angle_alpha 90.00
_cell_angle_beta 90.00
_cell_angle_gamma 120.00
loop_
_atom_site_label
_atom_site_type_symbol
_atom_site_fract_x
_atom_site_fract_y
_atom_site_fract_z
_atom_site_occupancy
Rb1 Rb 0.0000 0.0000 0.0000 1
Rb2 Rb 0.3333 0.6667 0.6756 1
U1 U 0.0000 0.0000 0.5000 1
Mn1 Mn 0.3333 0.6667 0.1604 1
O1 O 0.0000 0.5000 0.0000 1
O2 O 0.1700 0.3400 0.3285 1
```